Density functional theory data (GGA-PBE) for a relaxed Sc2TaHg crystal.

Output
**Magnetic moment**: 0.000 μB/f.u.
**Energy of formation**: 0.206 eV per atom

The structure in CIF format:
```
data_Sc2TaHg
_chemical_formula_sum 'Sc6 Ta3 Hg3'
_cell_length_a 3.1501
_cell_length_b 3.1501
_cell_length_c 32.4448
_cell_angle_alpha 90.00
_cell_angle_beta 90.00
_cell_angle_gamma 120.00
_space_group_name_H-M_alt 'R -3 m'
_space_group_IT_number 166
_space_group_name_Hall '-R 3 2"'
loop_
_atom_site_label
_atom_site_type_symbol
_atom_site_fract_x
_atom_site_fract_y
_atom_site_fract_z
Sc1 Sc 0.0000 0.0000 0.0937
Ta1 Ta 0.0000 0.0000 0.5000
Hg1 Hg 0.0000 0.0000 0.0000
```

---

Density functional theory data (GGA-PBE) for a relaxed LaSc2Fe crystal.

Output
**Relative energy among the computed polymorphs**: 0.53 eV per formula unit
**Magnetic moment**: 0.000 μB/f.u.
**Energy of formation**: 0.096 eV per atom

The structure in CIF format:
```
data_LaSc2Fe
_chemical_formula_sum 'La2 Sc4 Fe2'
_cell_length_a 11.375
_cell_length_b 3.425
_cell_length_c 5.169
_cell_angle_alpha 90.00
_cell_angle_beta 116.08
_cell_angle_gamma 90.00
_space_group_name_H-M_alt 'C 1 m 1'
_space_group_IT_number 8
_space_group_name_Hall 'C -2y'
loop_
_atom_site_label
_atom_site_type_symbol
_atom_site_fract_x
_atom_site_fract_y
_atom_site_fract_z
La1 La 0.000 0.000 0.000
Sc1 Sc 0.197 0.000 0.690
Sc2 Sc 0.382 0.000 0.382
Fe1 Fe 0.200 0.500 0.242
```

---

Density functional theory data (GGA-PBE) for a relaxed NaCaGdSeO6 crystal.

Output
**Magnetic moment**: 7.008 μB/f.u.
**Calculated total energy**: -7.00 eV per atom

The structure in CIF format:
```
data_NaCaGdSeO6
_chemical_formula_sum 'Na4 Ca4 Gd4 Se4 O24'
_cell_length_a 8.056
_cell_length_b 8.056
_cell_length_c 8.056
_cell_angle_alpha 90.00
_cell_angle_beta 90.00
_cell_angle_gamma 90.00
_space_group_name_H-M_alt 'F -4 3 m'
_space_group_IT_number 216
_space_group_name_Hall 'F -4 2 3'
loop_
_atom_site_label
_atom_site_type_symbol
_atom_site_fract_x
_atom_site_fract_y
_atom_site_fract_z
Na1 Na 0.000 0.000 0.000
Ca1 Ca 0.000 0.000 0.500
Gd1 Gd 0.250 0.250 0.750
Se1 Se 0.250 0.250 0.250
O1 O 0.025 0.250 0.250
```

---

Density functional theory data (GGA-PBE) for a relaxed RbNpSe crystal.

Output
**Magnetic moment**: 5.844 μB/f.u.
**Calculated total energy**: -6.13 eV per atom

The structure in CIF format:
```
data_RbNpSe
_chemical_formula_sum 'Rb4 Np4 Se4'
_cell_length_a 6.717
_cell_length_b 6.944
_cell_length_c 8.423
_cell_angle_alpha 90.00
_cell_angle_beta 91.22
_cell_angle_gamma 90.00
_space_group_name_H-M_alt 'C 1 2/m 1'
_space_group_IT_number 12
_space_group_name_Hall '-C 2y'
loop_
_atom_site_label
_atom_site_type_symbol
_atom_site_fract_x
_atom_site_fract_y
_atom_site_fract_z
Rb1 Rb 0.000 0.247 0.000
Np1 Np 0.000 0.252 0.500
Se1 Se 0.249 0.500 0.279
```

---

Density functional theory data (GGA-PBE) for a relaxed SnAs2RuSe crystal.

Output
**Relative energy among the computed polymorphs**: 0.00 eV per formula unit
**Magnetic moment**: 0.000 μB/f.u.

The structure in CIF format:
```
data_SnAs2RuSe
_chemical_formula_sum 'Sn1 As2 Ru1 Se1'
_cell_length_a 4.707
_cell_length_b 4.707
_cell_length_c 5.600
_cell_angle_alpha 90.00
_cell_angle_beta 90.00
_cell_angle_gamma 90.00
_space_group_name_H-M_alt 'P 4/m m m'
_space_group_IT_number 123
_space_group_name_Hall '-P 4 2'
loop_
_atom_site_label
_atom_site_type_symbol
_atom_site_fract_x
_atom_site_fract_y
_atom_site_fract_z
Sn1 Sn 0.000 0.000 0.000
As1 As 0.000 0.500 0.500
Ru1 Ru 0.500 0.500 0.500
Se1 Se 0.500 0.500 0.000
```

---

Density functional theory data (GGA-PBE) for a relaxed TbHo4Th5 crystal.

Output
**Magnetic moment**: 0.000 μB/f.u.
**Energy of formation**: 0.132 eV per atom

The structure in CIF format:
```
data_TbHo4Th5
_chemical_formula_sum 'Tb2 Ho8 Th10'
_cell_length_a 17.583
_cell_length_b 3.441
_cell_length_c 11.138
_cell_angle_alpha 90.00
_cell_angle_beta 107.25
_cell_angle_gamma 90.00
_space_group_name_H-M_alt 'C 1 2/m 1'
_space_group_IT_number 12
_space_group_name_Hall '-C 2y'
loop_
_atom_site_label
_atom_site_type_symbol
_atom_site_fract_x
_atom_site_fract_y
_atom_site_fract_z
Tb1 Tb 0.000 0.000 0.000
Ho1 Ho 0.094 0.500 0.809
Ho2 Ho 0.197 0.000 0.088
Th1 Th 0.000 0.000 0.500
Th2 Th 0.109 0.500 0.295
Th3 Th 0.197 0.500 0.595
```

---

Density functional theory data (GGA-PBE) for a relaxed Os2PdCl crystal.

Output
**Relative energy among the computed polymorphs**: 0.03 eV per formula unit
**Magnetic moment**: 0.000 μB/f.u.

The structure in CIF format:
```
data_Os2PdCl
_chemical_formula_sum 'Os8 Pd4 Cl4'
_cell_length_a 4.139
_cell_length_b 4.139
_cell_length_c 16.510
_cell_angle_alpha 90.00
_cell_angle_beta 90.00
_cell_angle_gamma 90.00
_space_group_name_H-M_alt 'I -4 2 d'
_space_group_IT_number 122
_space_group_name_Hall 'I -4 2bw'
loop_
_atom_site_label
_atom_site_type_symbol
_atom_site_fract_x
_atom_site_fract_y
_atom_site_fract_z
Os1 Os 0.162 0.250 0.125
Pd1 Pd 0.000 0.000 0.500
Cl1 Cl 0.000 0.000 0.000
```

---

Density functional theory data (GGA-PBE) for a relaxed Sr2LiCa crystal.

Output
**Relative energy among the computed polymorphs**: 0.00 eV per formula unit
**Magnetic moment**: 0.000 μB/f.u.
**Energy of formation**: 0.016 eV per atom

The structure in CIF format:
```
data_Sr2LiCa
_chemical_formula_sum 'Sr2 Li1 Ca1'
_cell_length_a 4.201
_cell_length_b 4.201
_cell_length_c 9.728
_cell_angle_alpha 90.00
_cell_angle_beta 90.00
_cell_angle_gamma 90.00
_space_group_name_H-M_alt 'P 4 m m'
_space_group_IT_number 99
_space_group_name_Hall 'P 4 -2'
loop_
_atom_site_label
_atom_site_type_symbol
_atom_site_fract_x
_atom_site_fract_y
_atom_site_fract_z
Sr1 Sr 0.000 0.000 0.000
Sr2 Sr 0.500 0.500 0.314
Li1 Li 0.500 0.500 0.777
Ca1 Ca 0.000 0.000 0.596
```

---

Density functional theory data (GGA-PBE) for a relaxed Sr3LiP2O8 crystal.

Output
**Magnetic moment**: 0.000 μB/f.u.
**Calculated total energy**: -6.65 eV per atom

The structure in CIF format:
```
data_Sr3LiP2O8
_chemical_formula_sum 'Sr3 Li1 P2 O8'
_cell_length_a 5.5606
_cell_length_b 5.5606
_cell_length_c 7.1259
_cell_angle_alpha 90.00
_cell_angle_beta 90.00
_cell_angle_gamma 120.00
_space_group_name_H-M_alt 'P -3 m 1'
_space_group_IT_number 164
_space_group_name_Hall '-P 3 2"'
loop_
_atom_site_label
_atom_site_type_symbol
_atom_site_fract_x
_atom_site_fract_y
_atom_site_fract_z
Sr1 Sr 0.0000 0.0000 0.0000
Sr2 Sr 0.3333 0.6667 0.6657
Li1 Li 0.0000 0.0000 0.5000
P1 P 0.3333 0.6667 0.2227
O1 O 0.1813 0.3627 0.3064
O2 O 0.3333 0.6667 0.0074
```

---

Density functional theory data (GGA-PBE) for a relaxed V2CdPd4 crystal.

Output
**Magnetic moment**: 0.000 μB/f.u.
**Energy of formation**: 0.742 eV per atom

The structure in CIF format:
```
data_V2CdPd4
_chemical_formula_sum 'V4 Cd2 Pd8'
_cell_length_a 4.975
_cell_length_b 4.975
_cell_length_c 12.113
_cell_angle_alpha 90.00
_cell_angle_beta 90.00
_cell_angle_gamma 90.00
_space_group_name_H-M_alt 'I 4/m m m'
_space_group_IT_number 139
_space_group_name_Hall '-I 4 2'
loop_
_atom_site_label
_atom_site_type_symbol
_atom_site_fract_x
_atom_site_fract_y
_atom_site_fract_z
V1 V 0.000 0.000 0.084
Cd1 Cd 0.000 0.000 0.500
Pd1 Pd 0.000 0.000 0.281
Pd2 Pd 0.000 0.500 0.000
```

---

Density functional theory data (GGA-PBE) for a relaxed SrMg2As crystal.

Output
**Magnetic moment**: 0.000 μB/f.u.
**Energy of formation**: -0.367 eV per atom

The structure in CIF format:
```
data_SrMg2As
_chemical_formula_sum 'Sr2 Mg4 As2'
_cell_length_a 12.678
_cell_length_b 3.554
_cell_length_c 5.229
_cell_angle_alpha 90.00
_cell_angle_beta 114.26
_cell_angle_gamma 90.00
_space_group_name_H-M_alt 'C 1 2/m 1'
_space_group_IT_number 12
_space_group_name_Hall '-C 2y'
loop_
_atom_site_label
_atom_site_type_symbol
_atom_site_fract_x
_atom_site_fract_y
_atom_site_fract_z
Sr1 Sr 0.000 0.000 0.000
Mg1 Mg 0.201 0.000 0.702
As1 As 0.000 0.500 0.500
```

---

Density functional theory data (GGA-PBE) for a relaxed ZrTe2SI crystal.

Output
**Relative energy among the computed polymorphs**: 2.30 eV per formula unit
**Magnetic moment**: 2.306 μB/f.u.

The structure in CIF format:
```
data_ZrTe2SI
_chemical_formula_sum 'Zr1 Te2 S1 I1'
_cell_length_a 5.609
_cell_length_b 5.609
_cell_length_c 5.743
_cell_angle_alpha 90.00
_cell_angle_beta 90.00
_cell_angle_gamma 90.00
_space_group_name_H-M_alt 'P 4/m m m'
_space_group_IT_number 123
_space_group_name_Hall '-P 4 2'
loop_
_atom_site_label
_atom_site_type_symbol
_atom_site_fract_x
_atom_site_fract_y
_atom_site_fract_z
Zr1 Zr 0.000 0.000 0.000
Te1 Te 0.000 0.500 0.000
S1 S 0.500 0.500 0.500
I1 I 0.000 0.000 0.500
```

---

Density functional theory data (GGA-PBE) for a relaxed HfVCr crystal.

Output
**Relative energy among the computed polymorphs**: 0.43 eV per formula unit
**Magnetic moment**: 0.201 μB/f.u.
**Energy of formation**: 0.070 eV per atom

The structure in CIF format:
```
data_HfVCr
_chemical_formula_sum 'Hf2 V2 Cr2'
_cell_length_a 3.092
_cell_length_b 3.092
_cell_length_c 9.754
_cell_angle_alpha 90.00
_cell_angle_beta 90.00
_cell_angle_gamma 90.00
_space_group_name_H-M_alt 'I 4 m m'
_space_group_IT_number 107
_space_group_name_Hall 'I 4 -2'
loop_
_atom_site_label
_atom_site_type_symbol
_atom_site_fract_x
_atom_site_fract_y
_atom_site_fract_z
Hf1 Hf 0.000 0.000 0.000
V1 V 0.000 0.000 0.694
Cr1 Cr 0.000 0.000 0.318
```

---

Density functional theory data (GGA-PBE) for a relaxed V2ReAgAs crystal.

Output
**Magnetic moment**: 0.003 μB/f.u.
**Energy of formation**: 1.319 eV per atom

The structure in CIF format:
```
data_V2ReAgAs
_chemical_formula_sum 'V2 Re1 Ag1 As1'
_cell_length_a 4.525
_cell_length_b 4.525
_cell_length_c 5.125
_cell_angle_alpha 90.00
_cell_angle_beta 90.00
_cell_angle_gamma 90.00
_space_group_name_H-M_alt 'P 4/m m m'
_space_group_IT_number 123
_space_group_name_Hall '-P 4 2'
loop_
_atom_site_label
_atom_site_type_symbol
_atom_site_fract_x
_atom_site_fract_y
_atom_site_fract_z
V1 V 0.000 0.500 0.000
Re1 Re 0.000 0.000 0.000
Ag1 Ag 0.000 0.000 0.500
As1 As 0.500 0.500 0.500
```

---

Density functional theory data (GGA-PBE) for a relaxed TaZn2Re crystal.

Output
**Relative energy among the computed polymorphs**: 0.56 eV per formula unit
**Magnetic moment**: 0.000 μB/f.u.
**Energy of formation**: 0.169 eV per atom

The structure in CIF format:
```
data_TaZn2Re
_chemical_formula_sum 'Ta2 Zn4 Re2'
_cell_length_a 5.366
_cell_length_b 8.528
_cell_length_c 2.693
_cell_angle_alpha 90.00
_cell_angle_beta 90.00
_cell_angle_gamma 90.00
_space_group_name_H-M_alt 'C m m m'
_space_group_IT_number 65
_space_group_name_Hall '-C 2 2'
loop_
_atom_site_label
_atom_site_type_symbol
_atom_site_fract_x
_atom_site_fract_y
_atom_site_fract_z
Ta1 Ta 0.000 0.000 0.000
Zn1 Zn 0.250 0.250 0.500
Re1 Re 0.000 0.500 0.000
```

---

Density functional theory data (GGA-PBE) for a relaxed Pm7NdAl4 crystal.

Output
**Magnetic moment**: 0.333 μB/f.u.
**Energy of formation**: -0.069 eV per atom

The structure in CIF format:
```
data_Pm7NdAl4
_chemical_formula_sum 'Pm14 Nd2 Al8'
_cell_length_a 14.107
_cell_length_b 5.647
_cell_length_c 10.691
_cell_angle_alpha 90.00
_cell_angle_beta 124.37
_cell_angle_gamma 90.00
_space_group_name_H-M_alt 'C 1 2/m 1'
_space_group_IT_number 12
_space_group_name_Hall '-C 2y'
loop_
_atom_site_label
_atom_site_type_symbol
_atom_site_fract_x
_atom_site_fract_y
_atom_site_fract_z
Pm1 Pm 0.000 0.000 0.000
Pm2 Pm 0.065 0.500 0.388
Pm3 Pm 0.203 0.000 0.645
Pm4 Pm 0.207 0.500 0.879
Nd1 Nd 0.000 0.500 0.000
Al1 Al 0.052 0.000 0.760
Al2 Al 0.176 0.000 0.331
```

---

Density functional theory data (GGA-PBE) for a relaxed DyTh4Pd15 crystal.

Output
**Magnetic moment**: 0.000 μB/f.u.
**Energy of formation**: -0.937 eV per atom

The structure in CIF format:
```
data_DyTh4Pd15
_chemical_formula_sum 'Dy1 Th4 Pd15'
_cell_length_a 4.196
_cell_length_b 4.196
_cell_length_c 21.035
_cell_angle_alpha 90.00
_cell_angle_beta 90.00
_cell_angle_gamma 90.00
_space_group_name_H-M_alt 'P 4/m m m'
_space_group_IT_number 123
_space_group_name_Hall '-P 4 2'
loop_
_atom_site_label
_atom_site_type_symbol
_atom_site_fract_x
_atom_site_fract_y
_atom_site_fract_z
Dy1 Dy 0.000 0.000 0.000
Th1 Th 0.000 0.000 0.195
Th2 Th 0.000 0.000 0.399
Pd1 Pd 0.000 0.500 0.099
Pd2 Pd 0.000 0.500 0.299
Pd3 Pd 0.000 0.500 0.500
Pd4 Pd 0.500 0.500 0.000
Pd5 Pd 0.500 0.500 0.199
Pd6 Pd 0.500 0.500 0.400
```

---

Density functional theory data (GGA-PBE) for a relaxed BaZrHg crystal.

Output
**Relative energy among the computed polymorphs**: 0.37 eV per formula unit
**Magnetic moment**: 1.020 μB/f.u.
**Energy of formation**: 0.081 eV per atom

The structure in CIF format:
```
data_BaZrHg
_chemical_formula_sum 'Ba2 Zr2 Hg2'
_cell_length_a 3.883
_cell_length_b 3.883
_cell_length_c 12.650
_cell_angle_alpha 90.00
_cell_angle_beta 90.00
_cell_angle_gamma 90.00
_space_group_name_H-M_alt 'P 4/m m m'
_space_group_IT_number 123
_space_group_name_Hall '-P 4 2'
loop_
_atom_site_label
_atom_site_type_symbol
_atom_site_fract_x
_atom_site_fract_y
_atom_site_fract_z
Ba1 Ba 0.000 0.000 0.182
Zr1 Zr 0.500 0.500 0.392
Hg1 Hg 0.000 0.000 0.500
Hg2 Hg 0.500 0.500 0.000
```

---

Density functional theory data (GGA-PBE) for a relaxed ThZr2Fe9 crystal.

Output
**Magnetic moment**: 16.703 μB/f.u.
**Energy of formation**: -0.188 eV per atom

The structure in CIF format:
```
data_ThZr2Fe9
_chemical_formula_sum 'Th3 Zr6 Fe27'
_cell_length_a 5.0229
_cell_length_b 5.0229
_cell_length_c 24.2317
_cell_angle_alpha 90.00
_cell_angle_beta 90.00
_cell_angle_gamma 120.00
_space_group_name_H-M_alt 'R -3 m'
_space_group_IT_number 166
_space_group_name_Hall '-R 3 2"'
loop_
_atom_site_label
_atom_site_type_symbol
_atom_site_fract_x
_atom_site_fract_y
_atom_site_fract_z
Th1 Th 0.0000 0.0000 0.0000
Zr1 Zr 0.0000 0.0000 0.1432
Fe1 Fe 0.0000 0.0000 0.3327
Fe2 Fe 0.0000 0.0000 0.5000
Fe3 Fe 0.0018 0.5009 0.9147
```

---

Density functional theory data (GGA-PBE) for a relaxed ZrSc7Tl4 crystal.

Output
**Magnetic moment**: 0.022 μB/f.u.
**Energy of formation**: 0.039 eV per atom

The structure in CIF format:
```
data_ZrSc7Tl4
_chemical_formula_sum 'Zr2 Sc14 Tl8'
_cell_length_a 14.101
_cell_length_b 5.389
_cell_length_c 9.076
_cell_angle_alpha 90.00
_cell_angle_beta 120.85
_cell_angle_gamma 90.00
_space_group_name_H-M_alt 'C 1 2/m 1'
_space_group_IT_number 12
_space_group_name_Hall '-C 2y'
loop_
_atom_site_label
_atom_site_type_symbol
_atom_site_fract_x
_atom_site_fract_y
_atom_site_fract_z
Zr1 Zr 0.000 0.000 0.000
Sc1 Sc 0.000 0.500 0.000
Sc2 Sc 0.068 0.000 0.405
Sc3 Sc 0.199 0.000 0.881
Sc4 Sc 0.243 0.000 0.284
Tl1 Tl 0.057 0.500 0.716
Tl2 Tl 0.185 0.500 0.342
```